(1)
An optimized crystal structure of Pm12HoSc6. Source: the Alexandria database, functional PBE-GGA.

Summary:
- Energy above the most stable polymorph in this dataset: 0.0 meV per atom
- Crystal system: cubic
- Energy relative to the elements: 0.23 eV/atom
- Total moment: 0.0 μB/cell
- Space-group type: Im-3

Lattice parameters (Å, degrees): 9.2000 9.2000 9.2000 109.47 109.47 109.47
Fractional positions:
1 Pm 0.0701 0.8016 0.2685
2 Pm 0.1984 0.2685 0.4669
3 Pm 0.1984 0.7315 0.9299
4 Pm 0.2685 0.0701 0.8016
5 Pm 0.2685 0.4669 0.1984
6 Pm 0.4669 0.1984 0.2685
7 Pm 0.5331 0.8016 0.7315
8 Pm 0.7315 0.5331 0.8016
9 Pm 0.7315 0.9299 0.1984
10 Pm 0.8016 0.2685 0.0701
11 Pm 0.8016 0.7315 0.5331
12 Pm 0.9299 0.1984 0.7315
13 Ho 0.0000 0.0000 0.0000
14 Sc 0.1379 0.6379 0.5000
15 Sc 0.3621 0.5000 0.8621
16 Sc 0.5000 0.1379 0.6379
17 Sc 0.5000 0.8621 0.3621
18 Sc 0.6379 0.5000 0.1379
19 Sc 0.8621 0.3621 0.5000

(2)
An optimized crystal structure of PmHo7Sc2. Source: the Alexandria database, functional PBE-GGA.

Summary:
- Energy above the most stable polymorph in this dataset: 0.0 meV per atom
- Crystal system: monoclinic
- Energy relative to the elements: 0.06 eV/atom
- Total moment: 0.0 μB/cell
- Space-group type: C2/m

Lattice parameters (Å, degrees): 8.6367 8.6367 6.8698 101.53 101.53 36.85
Fractional positions:
1 Pm 0.0000 0.0000 0.0000
2 Ho 0.0000 0.0000 0.5000
3 Ho 0.2122 0.2122 0.3540
4 Ho 0.3974 0.3974 0.1983
5 Ho 0.4020 0.4020 0.6998
6 Ho 0.5980 0.5980 0.3002
7 Ho 0.6026 0.6026 0.8017
8 Ho 0.7878 0.7878 0.6460
9 Sc 0.2159 0.2159 0.8587
10 Sc 0.7841 0.7841 0.1413

(3)
An optimized crystal structure of Pm2Ho9Sc. Source: the Alexandria database, functional PBE-GGA.

Summary:
- Crystal system: tetragonal
- Energy relative to the elements: 0.13 eV/atom
- Total moment: 0.0 μB/cell
- Space-group type: P4/mmm

Lattice parameters (Å, degrees): 5.8403 5.8403 10.9719 90.00 90.00 90.00
Fractional positions:
1 Pm 0.0000 0.0000 0.1676
2 Pm 0.0000 0.0000 0.8324
3 Ho 0.0000 0.5000 0.0000
4 Ho 0.0000 0.5000 0.3406
5 Ho 0.0000 0.5000 0.6594
6 Ho 0.5000 0.0000 0.0000
7 Ho 0.5000 0.0000 0.3406
8 Ho 0.5000 0.0000 0.6594
9 Ho 0.5000 0.5000 0.1656
10 Ho 0.5000 0.5000 0.5000
11 Ho 0.5000 0.5000 0.8344
12 Sc 0.0000 0.0000 0.5000

(4)
An optimized crystal structure of Pm6Ho5Sc2. Source: the Alexandria database, functional PBE-GGA.

Summary:
- Crystal system: orthorhombic
- Energy relative to the elements: 0.06 eV/atom
- Total moment: 0.0 μB/cell
- Space-group type: Pbam

Lattice parameters (Å, degrees): 11.4220 20.3161 3.5728 90.00 90.00 90.00
Fractional positions:
1 Pm 0.0811 0.1556 0.0000
2 Pm 0.1684 0.8822 0.5000
3 Pm 0.2158 0.5543 0.5000
4 Pm 0.2842 0.0543 0.5000
5 Pm 0.3316 0.3822 0.5000
6 Pm 0.4189 0.6556 0.0000
7 Pm 0.5811 0.3444 0.0000
8 Pm 0.6684 0.6178 0.5000
9 Pm 0.7158 0.9457 0.5000
10 Pm 0.7842 0.4457 0.5000
11 Pm 0.8316 0.1178 0.5000
12 Pm 0.9189 0.8444 0.0000
13 Ho 0.0000 0.0000 0.0000
14 Ho 0.0574 0.4212 0.0000
15 Ho 0.1451 0.7208 0.0000
16 Ho 0.3549 0.2208 0.0000
17 Ho 0.4426 0.9212 0.0000
18 Ho 0.5000 0.5000 0.0000
19 Ho 0.5574 0.0788 0.0000
20 Ho 0.6451 0.7792 0.0000
21 Ho 0.8549 0.2792 0.0000
22 Ho 0.9426 0.5788 0.0000
23 Sc 0.1131 0.2877 0.5000
24 Sc 0.3869 0.7877 0.5000
25 Sc 0.6131 0.2123 0.5000
26 Sc 0.8869 0.7123 0.5000